[1]
The following is a DFT calculation (PBE) of a geometry-optimized Ta2ZnIn structure.

The structure in POSCAR format:
```
Ta2ZnIn
1.0
-4.1603 -0.2163 3.2711
-4.5451 -1.2504 -2.4152
4.9034 -1.8760 0.7016
In Ta Zn
1 2 1
direct
0.2614 0.7614 0.5000 In
0.9948 0.9948 0.0000 Ta
0.7446 0.2446 0.5000 Ta
0.4992 0.4992 0.0000 Zn
```

Calculated values
Volume, Å³/atom: 18.08
Formation energy from the elements, eV per atom: 0.210
Electronic total energy, eV/f.u.: -26.88
Space group: Imm2, No. 44

=====

[2]
The following is a DFT calculation (PBE) of a geometry-optimized TaZnIn3 structure.

The structure in POSCAR format:
```
TaZnIn3
1.0
-2.6167 -4.8064 -0.4506
4.8143 -2.5602 -0.6481
0.3572 -0.7039 5.4340
Zn In Ta
1 3 1
direct
0.5000 0.5000 0.5000 Zn
0.0000 0.5000 0.0000 In
0.0000 0.0000 0.5000 In
0.5000 0.0000 0.0000 In
0.0000 0.0000 0.0000 Ta
```

Calculated values
Volume, Å³/atom: 33.11
Offset from the most stable computed form, meV/atom: 0
Formation energy from the elements, eV per atom: 0.829
Electronic total energy, eV/f.u.: -17.20
Space group: Pm-3m, No. 221

=====

[3]
The following is a DFT calculation (PBE) of a geometry-optimized Ta2ZnIn structure.

The structure in POSCAR format:
```
Ta2ZnIn
1.0
5.1794 -0.0052 -0.0012
4.3455 2.8183 -0.0012
0.9654 0.2851 5.0706
In Ta Zn
1 2 1
direct
0.2508 0.2508 0.2714 In
0.0103 0.0103 0.9665 Ta
0.7475 0.7475 0.7730 Ta
0.4915 0.4915 0.4892 Zn
```

Calculated values
Volume, Å³/atom: 18.53
Formation energy from the elements, eV per atom: 0.226
Electronic total energy, eV/f.u.: -26.81
Space group: Cm, No. 8